A relaxed structure of Mn2F7, computed with PBE+U.

Summary:
calculated volume = 263.3 Å³/cell
N(E_F) = 0.61 states/eV per cell
E above lowest polymorph = 0 meV per atom
space-group type = No. 15
total magnetic moment = 7.000 μB per formula unit

Geometry as POSCAR:
```
Mn2F7
1.0
-2.0611 2.7799 4.6702
2.0402 -5.4380 -0.2290
8.9763 2.2776 3.6941
Mn F
4 14
Cartesian
3.6566 -0.8319 5.2056
0.5328 -0.1308 1.4145
8.4226 -0.2497 6.7207
5.2988 0.4514 2.9297
5.1477 0.5013 4.8289
0.2305 3.2539 5.5368
1.6874 -4.2971 0.0094
7.7914 1.2679 5.7561
8.3965 -1.3245 5.3303
2.4543 0.4501 5.2201
2.9819 3.2408 5.6714
5.9735 -3.6212 2.4639
6.5011 -0.8306 2.9151
0.5589 0.9440 2.8050
1.1640 -1.6484 2.3791
7.2680 3.9167 8.1258
8.7249 -3.6344 2.5984
3.8077 -0.8818 3.3064
```